1.
CaNdHgPb: relaxed, GGA-PBE.

Cell and atoms, written as POSCAR:
```
CaNdHgPb
1.0
-3.4746 2.7450 3.2403
-2.3914 -2.5414 4.2344
1.4568 1.2644 5.1368
Pb Ca Hg Nd
1 1 1 1
Direct
0.2500 0.2500 0.2500 Pb
0.5000 0.5000 0.5000 Ca
0.7500 0.7500 0.7500 Hg
0.0000 0.0000 0.0000 Nd
```

DFT formation energy = -527 meV per atom
density = 8.42 g/cm3
V = 29.20 Å³/atom
total DFT energy (no corrections) = -3.2215 eV per atom

2.
CaNdHgPd: relaxed, GGA-PBE.

Cell and atoms, written as POSCAR:
```
CaNdHgPd
1.0
-3.2203 -3.7199 -1.7376
1.7793 -3.6909 -3.2309
0.5325 -4.9088 1.6874
Hg Ca Pd Nd
1 1 1 1
Direct
0.5000 0.5000 0.5000 Hg
0.7500 0.7500 0.7500 Ca
0.0000 0.0000 0.0000 Pd
0.2500 0.2500 0.2500 Nd
```

DFT formation energy = -597 meV per atom
density = 8.12 g/cm3
V = 25.11 Å³/atom
total DFT energy (no corrections) = -3.6635 eV per atom

3.
CaPrNdHg: relaxed, GGA-PBE.

Cell and atoms, written as POSCAR:
```
CaPrNdHg
1.0
5.6157 0.0000 0.0000
2.8079 4.8634 0.0000
2.8079 1.6211 4.5852
Pr Ca Hg Nd
1 1 1 1
Direct
0.0000 0.0000 0.0000 Pr
0.2500 0.2500 0.2500 Ca
0.7500 0.7500 0.7500 Hg
0.5000 0.5000 0.5000 Nd
```

DFT formation energy = -97 meV per atom
density = 6.97 g/cm3
V = 31.31 Å³/atom
total DFT energy (no corrections) = -3.0601 eV per atom